Entry 1:
# LaSn2I (PBE-GGA, relaxed)
data_LaSn2I
_cell_length_a 9.311
_cell_length_b 9.311
_cell_length_c 6.315
_cell_angle_alpha 90.00
_cell_angle_beta 90.00
_cell_angle_gamma 90.00
_space_group_name_H-M_alt 'I -4 2 d'
_space_group_IT_number 122
_space_group_name_Hall 'I -4 2bw'
loop_
_atom_site_label
_atom_site_type_symbol
_atom_site_fract_x
_atom_site_fract_y
_atom_site_fract_z
La1 La 0.000 0.000 0.000
Sn1 Sn 0.237 0.250 0.125
I1 I 0.000 0.000 0.500
# Formation energy (no corrections) in meV/atom: -155
# ΔE to the lowest computed polymorph in eV/atom: 0.000
# Magnetic moment in μB per atom: 0.00


Entry 2:
# BaTiBeNi2 (PBE-GGA, relaxed)
data_BaTiBeNi2
_cell_length_a 4.393
_cell_length_b 4.393
_cell_length_c 4.599
_cell_angle_alpha 90.00
_cell_angle_beta 90.00
_cell_angle_gamma 90.00
_space_group_name_H-M_alt 'P 4/m m m'
_space_group_IT_number 123
_space_group_name_Hall '-P 4 2'
loop_
_atom_site_label
_atom_site_type_symbol
_atom_site_fract_x
_atom_site_fract_y
_atom_site_fract_z
Ba1 Ba 0.000 0.000 0.000
Ti1 Ti 0.500 0.500 0.000
Be1 Be 0.500 0.500 0.500
Ni1 Ni 0.000 0.500 0.500
# Magnetic moment in μB per atom: 0.59
# Uncorrected energy in hartree per atom: -0.1671


Entry 3:
# Pr2Te2S (PBE-GGA, relaxed)
data_Pr2Te2S
_cell_length_a 8.186
_cell_length_b 12.239
_cell_length_c 6.572
_cell_angle_alpha 90.00
_cell_angle_beta 90.00
_cell_angle_gamma 90.00
_space_group_name_H-M_alt 'I b a m'
_space_group_IT_number 72
_space_group_name_Hall '-I 2 2c'
loop_
_atom_site_label
_atom_site_type_symbol
_atom_site_fract_x
_atom_site_fract_y
_atom_site_fract_z
Pr1 Pr 0.232 0.105 0.000
Te1 Te 0.132 0.357 0.000
S1 S 0.000 0.000 0.250
# Formation energy (no corrections) in meV/atom: -1616
# ΔE to the lowest computed polymorph in eV/atom: 0.023
# Magnetic moment in μB per atom: 0.00


Entry 4:
# InAsPBr2 (PBE-GGA, relaxed)
data_InAsPBr2
_cell_length_a 5.392
_cell_length_b 5.392
_cell_length_c 4.818
_cell_angle_alpha 90.00
_cell_angle_beta 90.00
_cell_angle_gamma 90.00
_space_group_name_H-M_alt 'P 4/m m m'
_space_group_IT_number 123
_space_group_name_Hall '-P 4 2'
loop_
_atom_site_label
_atom_site_type_symbol
_atom_site_fract_x
_atom_site_fract_y
_atom_site_fract_z
In1 In 0.000 0.000 0.000
As1 As 0.500 0.500 0.000
P1 P 0.500 0.500 0.500
Br1 Br 0.000 0.500 0.500
# Formation energy (no corrections) in meV/atom: 152
# ΔE to the lowest computed polymorph in eV/atom: 0.000
# Magnetic moment in μB per atom: 0.00


Entry 5:
# HfCrRe3 (PBE-GGA, relaxed)
data_HfCrRe3
_cell_length_a 4.689
_cell_length_b 4.689
_cell_length_c 4.689
_cell_angle_alpha 90.00
_cell_angle_beta 90.00
_cell_angle_gamma 90.00
_space_group_name_H-M_alt 'P m -3 m'
_space_group_IT_number 221
_space_group_name_Hall '-P 4 2 3'
loop_
_atom_site_label
_atom_site_type_symbol
_atom_site_fract_x
_atom_site_fract_y
_atom_site_fract_z
Hf1 Hf 0.000 0.000 0.000
Cr1 Cr 0.500 0.500 0.500
Re1 Re 0.000 0.000 0.500
# ΔE to the lowest computed polymorph in eV/atom: 1.849
# Magnetic moment in μB per atom: 0.00


Entry 6:
# BaTl3Ru (PBE-GGA, relaxed)
data_BaTl3Ru
_cell_length_a 5.332
_cell_length_b 5.332
_cell_length_c 5.332
_cell_angle_alpha 90.00
_cell_angle_beta 90.00
_cell_angle_gamma 90.00
_space_group_name_H-M_alt 'P m -3 m'
_space_group_IT_number 221
_space_group_name_Hall '-P 4 2 3'
loop_
_atom_site_label
_atom_site_type_symbol
_atom_site_fract_x
_atom_site_fract_y
_atom_site_fract_z
Ba1 Ba 0.000 0.000 0.000
Tl1 Tl 0.000 0.500 0.500
Ru1 Ru 0.500 0.500 0.500
# ΔE to the lowest computed polymorph in eV/atom: 0.000
# Magnetic moment in μB per atom: 0.00